Record 1
This record from Alexandria via LeMat-Bulk describes a relaxed structure of ZnFeRh3. The functional is PBE.

```
ZnFeRh3
1.0
4.427 0.000 0.000
0.000 4.427 0.000
0.000 0.000 4.427
Zn Rh Fe
1 3 1
Direct
0.500 0.500 0.500
0.000 0.000 0.500
0.500 0.000 0.000
0.000 0.500 0.000
0.000 0.000 0.000
```

Properties
ΔE to the lowest computed polymorph ... 0.000 eV per formula unit
Crystal system ... cubic
DOS at the Fermi energy ... 8.5 states/eV per cell
Formation enthalpy at 0 K ... 0.95 eV per atom

Record 2
This record from Alexandria via LeMat-Bulk describes a relaxed structure of Zn2FeRh3. The functional is PBE.

```
Zn2FeRh3
1.0
3.032 0.000 0.000
0.000 3.032 0.000
0.000 0.000 8.970
Rh Fe Zn
3 1 2
Direct
0.000 0.000 0.338
0.000 0.000 0.662
0.000 0.000 0.000
0.500 0.500 0.500
0.500 0.500 0.166
0.500 0.500 0.834
```

Properties
Crystal system ... tetragonal
DOS at the Fermi energy ... 3.5 states/eV per cell
Formation enthalpy at 0 K ... -0.30 eV per atom

Copy entry 1 word for word.
This record from Alexandria via LeMat-Bulk describes a relaxed structure of ZnFeRh3. The functional is PBE.

```
ZnFeRh3
1.0
4.427 0.000 0.000
0.000 4.427 0.000
0.000 0.000 4.427
Zn Rh Fe
1 3 1
Direct
0.500 0.500 0.500
0.000 0.000 0.500
0.500 0.000 0.000
0.000 0.500 0.000
0.000 0.000 0.000
```

Properties
ΔE to the lowest computed polymorph ... 0.000 eV per formula unit
Crystal system ... cubic
DOS at the Fermi energy ... 8.5 states/eV per cell
Formation enthalpy at 0 K ... 0.95 eV per atom

Q: Among the records above, which one has the lowest DOS at the Fermi energy?
A: Zn2FeRh3

Q: formation enthalpy at 0 K of number 1 (ZnFeRh3)?
A: 0.95 eV per atom

Q: What is the DOS at the Fermi energy in the first record?
A: 8.5 states/eV per cell